Version A
# Ta2BeAs | Alexandria | PBE-GGA | relaxed
# * M_tot: 0.000 μB per atom
# * density of states at the Fermi level: 3.13 states/eV/cell
data_Ta2BeAs
_cell_length_a 3.115
_cell_length_b 3.115
_cell_length_c 6.318
_cell_angle_alpha 90.00
_cell_angle_beta 90.00
_cell_angle_gamma 90.00
_space_group_name_H-M_alt 'P 4/m m m'
_space_group_IT_number 123
_space_group_name_Hall '-P 4 2'
loop_
_atom_site_label
_atom_site_fract_x
_atom_site_fract_y
_atom_site_fract_z
Ta1 0.000 0.000 0.250
Be1 0.500 0.500 0.000
As1 0.500 0.500 0.500

Version B
# Ta2BeAs | Alexandria | PBE-GGA | relaxed
# * M_tot: 0.000 μB per atom
# * density of states at the Fermi level: 1.97 states/eV/cell
data_Ta2BeAs
_cell_length_a 2.992
_cell_length_b 3.656
_cell_length_c 5.848
_cell_angle_alpha 90.00
_cell_angle_beta 104.28
_cell_angle_gamma 90.00
_space_group_name_H-M_alt 'P 1 2/m 1'
_space_group_IT_number 10
_space_group_name_Hall '-P 2y'
loop_
_atom_site_label
_atom_site_fract_x
_atom_site_fract_y
_atom_site_fract_z
Ta1 0.004 0.000 0.234
Be1 0.500 0.500 0.000
As1 0.500 0.500 0.500

version B wins, 68 meV per atom ahead of the next structure.

Version A
# TaBeAs3 | Alexandria | PBE-GGA | relaxed
# * M_tot: 0.000 μB per atom
# * density of states at the Fermi level: 4.80 states/eV/cell
data_TaBeAs3
_cell_length_a 4.982
_cell_length_b 4.982
_cell_length_c 4.982
_cell_angle_alpha 90.00
_cell_angle_beta 90.00
_cell_angle_gamma 90.00
_space_group_name_H-M_alt 'P m -3 m'
_space_group_IT_number 221
_space_group_name_Hall '-P 4 2 3'
loop_
_atom_site_label
_atom_site_fract_x
_atom_site_fract_y
_atom_site_fract_z
Ta1 0.000 0.000 0.000
Be1 0.500 0.500 0.500
As1 0.000 0.000 0.500

Version B
# TaBeAs3 | Alexandria | PBE-GGA | relaxed
# * M_tot: 0.000 μB per atom
# * density of states at the Fermi level: 4.91 states/eV/cell
data_TaBeAs3
_cell_length_a 4.435
_cell_length_b 4.435
_cell_length_c 4.435
_cell_angle_alpha 90.00
_cell_angle_beta 90.00
_cell_angle_gamma 90.00
_space_group_name_H-M_alt 'P m -3 m'
_space_group_IT_number 221
_space_group_name_Hall '-P 4 2 3'
loop_
_atom_site_label
_atom_site_fract_x
_atom_site_fract_y
_atom_site_fract_z
Ta1 0.000 0.000 0.000
Be1 0.500 0.500 0.500
As1 0.000 0.500 0.500

version B wins, 29 meV per atom ahead of the next structure.

Version A
# TaBe3As | Alexandria | PBE-GGA | relaxed
# * M_tot: 0.000 μB per atom
# * density of states at the Fermi level: 1.99 states/eV/cell
data_TaBe3As
_cell_length_a 4.497
_cell_length_b 4.497
_cell_length_c 4.497
_cell_angle_alpha 90.00
_cell_angle_beta 90.00
_cell_angle_gamma 90.00
_space_group_name_H-M_alt 'P m -3 m'
_space_group_IT_number 221
_space_group_name_Hall '-P 4 2 3'
loop_
_atom_site_label
_atom_site_fract_x
_atom_site_fract_y
_atom_site_fract_z
Ta1 0.000 0.000 0.000
Be1 0.000 0.000 0.500
As1 0.500 0.500 0.500

Version B
# TaBe3As | Alexandria | PBE-GGA | relaxed
# * M_tot: 0.000 μB per atom
# * density of states at the Fermi level: 4.15 states/eV/cell
data_TaBe3As
_cell_length_a 4.156
_cell_length_b 4.156
_cell_length_c 4.156
_cell_angle_alpha 90.00
_cell_angle_beta 90.00
_cell_angle_gamma 90.00
_space_group_name_H-M_alt 'P m -3 m'
_space_group_IT_number 221
_space_group_name_Hall '-P 4 2 3'
loop_
_atom_site_label
_atom_site_fract_x
_atom_site_fract_y
_atom_site_fract_z
Ta1 0.000 0.000 0.000
Be1 0.000 0.500 0.500
As1 0.500 0.500 0.500

version B wins, 527 meV per atom ahead of the next structure.

Version A
# BeTe3As | Alexandria | PBE-GGA | relaxed
# * M_tot: 0.000 μB per atom
# * density of states at the Fermi level: 7.25 states/eV/cell
data_BeTe3As
_cell_length_a 5.405
_cell_length_b 5.405
_cell_length_c 5.405
_cell_angle_alpha 90.00
_cell_angle_beta 90.00
_cell_angle_gamma 90.00
_space_group_name_H-M_alt 'P m -3 m'
_space_group_IT_number 221
_space_group_name_Hall '-P 4 2 3'
loop_
_atom_site_label
_atom_site_fract_x
_atom_site_fract_y
_atom_site_fract_z
Be1 0.000 0.000 0.000
Te1 0.000 0.500 0.500
As1 0.500 0.500 0.500

Version B
# BeTe3As | Alexandria | PBE-GGA | relaxed
# * M_tot: 0.000 μB per atom
# * density of states at the Fermi level: 3.93 states/eV/cell
data_BeTe3As
_cell_length_a 4.944
_cell_length_b 4.944
_cell_length_c 4.944
_cell_angle_alpha 90.00
_cell_angle_beta 90.00
_cell_angle_gamma 90.00
_space_group_name_H-M_alt 'P m -3 m'
_space_group_IT_number 221
_space_group_name_Hall '-P 4 2 3'
loop_
_atom_site_label
_atom_site_fract_x
_atom_site_fract_y
_atom_site_fract_z
Be1 0.000 0.000 0.000
Te1 0.000 0.000 0.500
As1 0.500 0.500 0.500

version B wins, 463 meV per atom ahead of the next structure.